{"formula": "AcCrS3", "functional": "PBE", "state": "relaxed", "relative_energy_mev_per_atom": 0, "sg": "C2/c, No. 15", "n_ef_per_ev_cell": 0.38, "lattice_angstrom": [[-3.942, 4.360, -3.014], [5.184, -2.610, -3.318], [-8.402, -8.024, -0.621]], "species": ["Ac", "Ac", "Ac", "Ac", "Cr", "Cr", "Cr", "Cr", "S", "S", "S", "S", "S", "S", "S", "S", "S", "S", "S", "S"], "frac_coords": [[0.160, 0.741, 0.870], [0.420, 0.259, 0.630], [0.840, 0.259, 0.130], [0.580, 0.741, 0.370], [0.000, 0.500, 0.500], [0.500, 0.500, 0.000], [0.232, 0.000, 0.250], [0.768, 0.000, 0.750], [0.171, 0.284, 0.841], [0.887, 0.716, 0.659], [0.829, 0.716, 0.159], [0.113, 0.284, 0.341], [0.375, 0.691, 0.633], [0.685, 0.309, 0.867], [0.625, 0.309, 0.367], [0.315, 0.691, 0.133], [0.671, 0.832, 0.916], [0.839, 0.168, 0.584], [0.161, 0.832, 0.416], [0.329, 0.168, 0.084]]}


{"formula": "CsZnICl2", "functional": "PBE", "state": "relaxed", "final_energy_ev_per_atom": -2.65, "sg": "P4/mmm, No. 123", "n_ef_per_ev_cell": 0.30, "lattice_angstrom": [[5.230, 0.000, 0.000], [0.000, 5.230, 0.000], [0.000, 0.000, 5.608]], "species": ["Cs", "I", "Zn", "Cl", "Cl"], "frac_coords": [[0.500, 0.500, 0.500], [0.000, 0.000, 0.500], [0.000, 0.000, 0.000], [0.000, 0.500, 0.000], [0.500, 0.000, 0.000]]}


{"formula": "Be3NiI", "functional": "PBE", "state": "relaxed", "relative_energy_mev_per_atom": 0, "sg": "Pm-3m, No. 221", "n_ef_per_ev_cell": 2.70, "lattice_angstrom": [[-3.522, -1.107, 2.096], [-0.636, -3.174, -2.746], [2.283, -2.593, 2.467]], "species": ["I", "Ni", "Be", "Be", "Be"], "frac_coords": [[0.500, 0.500, 0.500], [0.000, 0.000, 0.000], [0.000, 0.500, 0.000], [0.000, 0.000, 0.500], [0.500, 0.000, 0.000]]}


{"formula": "KSc3Pt", "functional": "PBE", "state": "relaxed", "delta_e_f_kj_per_mol_fu": -72, "relative_energy_mev_per_atom": 0, "sg": "Pm-3m, No. 221", "n_ef_per_ev_cell": 8.97, "lattice_angstrom": [[-2.778, 4.365, -0.984], [-3.799, -1.689, 3.233], [2.364, 2.415, 4.039]], "species": ["Sc", "Sc", "Sc", "K", "Pt"], "frac_coords": [[0.000, 0.500, 0.000], [0.000, 0.000, 0.500], [0.500, 0.000, 0.000], [0.500, 0.500, 0.500], [0.000, 0.000, 0.000]]}